! Ta2Zn2Fe2IrOs PBE-GGA relaxed; values from VASP
&SYSTEM
  ibrav = 0, nat = 8, ntyp = 5
/
ATOMIC_SPECIES
Fe 55.84 Fe.upf
Ir 192.22 Ir.upf
Os 190.23 Os.upf
Ta 180.95 Ta.upf
Zn 65.41 Zn.upf
ATOMIC_POSITIONS crystal
Fe 0.5000 0.5000 0.0000
Fe 0.0000 0.0000 0.5000
Ir 0.0000 0.0000 0.0000
Os 0.5000 0.5000 0.5000
Ta 0.0000 0.5000 0.2532
Ta 0.5000 0.0000 0.7468
Zn 0.5000 0.0000 0.2510
Zn 0.0000 0.5000 0.7490
CELL_PARAMETERS angstrom
4.3111 0.0000 0.0000
0.0000 4.3111 0.0000
0.0000 0.0000 6.0865
! Total moment (Bohr magnetons per cell): 0.54
! Crystal system: tetragonal
! ΔH_f (0 K) (eV/f.u.): -1.841
! V (Å³ per cell): 113.1


! RbFeP2Ir PBE-GGA relaxed; values from VASP
&SYSTEM
  ibrav = 0, nat = 5, ntyp = 4
/
ATOMIC_SPECIES
Fe 55.84 Fe.upf
Ir 192.22 Ir.upf
P 30.97 P.upf
Rb 85.47 Rb.upf
ATOMIC_POSITIONS crystal
Fe 0.5000 0.5000 0.0000
Ir 0.0000 0.0000 0.0000
P 0.0894 0.5894 0.5000
P 0.4106 0.9106 0.5000
Rb 0.7500 0.2500 0.5000
CELL_PARAMETERS angstrom
-1.9334 1.9334 6.8286
1.9334 -1.9334 6.8286
1.9334 1.9334 -6.8286
! Total moment (Bohr magnetons per cell): 0.04
! Total energy (eV per atom): -6.377
! Crystal system: tetragonal
! V (Å³ per cell): 102.1


! PaFeIr PBE-GGA relaxed; values from VASP
&SYSTEM
  ibrav = 0, nat = 3, ntyp = 3
/
ATOMIC_SPECIES
Fe 55.84 Fe.upf
Ir 192.22 Ir.upf
Pa 231.04 Pa.upf
ATOMIC_POSITIONS crystal
Fe 0.2500 0.2500 0.2500
Ir 0.7500 0.7500 0.7500
Pa 0.0000 0.0000 0.0000
CELL_PARAMETERS angstrom
0.0000 3.1053 3.1053
3.1053 0.0000 3.1053
3.1053 3.1053 0.0000
! Total moment (Bohr magnetons per cell): 0.37
! Crystal system: cubic
! ΔH_f (0 K) (eV/f.u.): 0.617
! V (Å³ per cell): 59.9


! PaFeIr PBE-GGA relaxed; values from VASP
&SYSTEM
  ibrav = 0, nat = 3, ntyp = 3
/
ATOMIC_SPECIES
Fe 55.84 Fe.upf
Ir 192.22 Ir.upf
Pa 231.04 Pa.upf
ATOMIC_POSITIONS crystal
Fe 0.0000 0.0000 0.0000
Ir 0.7500 0.7500 0.7500
Pa 0.2500 0.2500 0.2500
CELL_PARAMETERS angstrom
-3.8975 -0.8575 1.5008
-2.4839 3.1640 1.4136
-3.4452 1.1628 -2.2264
! Total moment (Bohr magnetons per cell): 1.16
! Crystal system: cubic
! ΔH_f (0 K) (eV/f.u.): -0.664
! V (Å³ per cell): 54.8